Record 1
First-principles (SCAN) data for TlIr2C at its PBEsol-relaxed geometry, as listed in Alexandria via LeMat-Bulk.

V = 15.2 A^3/atom
Magnetization = 0.00 Bohr magnetons per cell
Energy of formation = 0.54 eV per atom
Space-group type = I-42d (122)
Electronic total energy = -55.62 eV/atom

Unit cell a=5.4200 b=5.4200 c=5.4200 alpha=106.46 beta=106.46 gamma=115.68
Closest atoms and distances in Å follow each position.
Fractional coordinates of all 8 atoms:
Tl (0.0000, 0.0000, 0.0000)  8 Ir 2.83-2.98, 2 C 2.88
Tl (0.2500, 0.7500, 0.5000)  8 Ir 2.83-2.98, 2 C 2.88
Ir (0.6250, 0.2440, 0.1190)  2 C 1.97
Ir (0.7560, 0.8750, 0.3810)  2 C 1.97
Ir (0.1250, 0.5060, 0.8810)  2 C 1.97
Ir (0.4940, 0.3750, 0.6190)  2 C 1.97
C (0.5000, 0.5000, 0.0000)  4 Ir 1.97
C (0.7500, 0.2500, 0.5000)  4 Ir 1.97

Record 2
First-principles (SCAN) data for AlCd4Te at its PBEsol-relaxed geometry, as listed in Alexandria via LeMat-Bulk.

V = 23.1 A^3/atom
Magnetization = 0.00 Bohr magnetons per cell
Formation energy (no corrections) = 1.65 eV per formula unit
Space-group type = F-43m (216)
Electronic total energy = -27.50 eV/atom

Unit cell a=5.8106 b=5.8106 c=5.8106 alpha=60.00 beta=60.00 gamma=60.00
Closest atoms and distances in Å follow each position.
Fractional coordinates of all 6 atoms:
Cd (0.3742, 0.3742, 0.8775)  6 Cd 2.89-2.92
Cd (0.8775, 0.3742, 0.3742)  6 Cd 2.89-2.92
Cd (0.3742, 0.8775, 0.3742)  6 Cd 2.89-2.92
Cd (0.3742, 0.3742, 0.3742)  6 Cd 2.89-2.92
Te (0.7500, 0.7500, 0.7500)  12 Cd 3.41, 4 Al 3.56
Al (0.0000, 0.0000, 0.0000)  12 Cd 3.40, 4 Te 3.56